[1]
First-principles (GGA-PBE) data for a relaxed structure of La3Ce2SmY6, as listed in Alexandria via LeMat-Bulk.

Lattice parameters (Å, degrees): 6.2705 6.2705 11.8758 95.05 95.05 120.01
Closest atoms and distances in Å follow each position.
Fractional positions:
La: 0.0000 0.0000 0.0000  6 La 3.61-3.63, 6 Y 3.64-3.65
La: 0.3343 0.6657 0.0000  6 La 3.60-3.63, 6 Y 3.64-3.65
La: 0.6657 0.3343 0.0000  6 La 3.60-3.63, 6 Y 3.64-3.65
Ce: 0.1665 0.8335 0.5000  6 Y 3.54, 3 Ce 3.62, 3 Sm 3.62
Ce: 0.8335 0.1665 0.5000  6 Y 3.54, 3 Ce 3.62, 3 Sm 3.62
Sm: 0.5000 0.5000 0.5000  6 Y 3.55, 6 Ce 3.62
Y: 0.0831 0.4185 0.2554  2 Ce 3.54, 1 Sm 3.55, 6 Y 3.61-3.64, 3 La 3.64-3.65
Y: 0.2461 0.2461 0.7446  2 Ce 3.54, 1 Sm 3.55, 6 Y 3.61-3.64, 3 La 3.64
Y: 0.4185 0.0831 0.2554  2 Ce 3.54, 1 Sm 3.55, 6 Y 3.61-3.64, 3 La 3.64-3.65
Y: 0.5815 0.9169 0.7446  2 Ce 3.54, 1 Sm 3.55, 6 Y 3.61-3.64, 3 La 3.64-3.65
Y: 0.7539 0.7539 0.2554  2 Ce 3.54, 1 Sm 3.55, 6 Y 3.61-3.64, 3 La 3.64
Y: 0.9169 0.5815 0.7446  2 Ce 3.54, 1 Sm 3.55, 6 Y 3.61-3.64, 3 La 3.64-3.65

energy relative to the elements = 4 kJ per mole of atoms
V = 33.2 A^3/atom
density of states at the Fermi level = 1.770 states/eV per atom

=====

[2]
First-principles (GGA-PBE) data for a relaxed structure of La3CeSm2Y6, as listed in Alexandria via LeMat-Bulk.

Lattice parameters (Å, degrees): 6.2989 6.2989 11.9057 95.06 95.06 120.01
Closest atoms and distances in Å follow each position.
Fractional positions:
La: 0.0000 0.0000 0.0000  6 La 3.62-3.64, 6 Y 3.64-3.65
La: 0.3318 0.6682 0.0000  6 La 3.62-3.67, 6 Y 3.64-3.65
La: 0.6682 0.3318 0.0000  6 La 3.62-3.67, 6 Y 3.64-3.65
Ce: 0.5000 0.5000 0.5000  6 Y 3.55-3.56, 6 Sm 3.64
Sm: 0.1666 0.8334 0.5000  6 Y 3.57, 3 Ce 3.64, 3 Sm 3.64
Sm: 0.8334 0.1666 0.5000  6 Y 3.57, 3 Ce 3.64, 3 Sm 3.64
Y: 0.0871 0.4183 0.2543  1 Ce 3.55, 2 Sm 3.57, 6 Y 3.61-3.65, 3 La 3.64-3.65
Y: 0.2506 0.2506 0.7460  1 Ce 3.56, 2 Sm 3.57, 6 Y 3.61-3.65, 3 La 3.65
Y: 0.4183 0.0871 0.2543  1 Ce 3.55, 2 Sm 3.57, 6 Y 3.61-3.65, 3 La 3.64-3.65
Y: 0.5817 0.9129 0.7457  1 Ce 3.55, 2 Sm 3.57, 6 Y 3.61-3.65, 3 La 3.64-3.65
Y: 0.7494 0.7494 0.2540  1 Ce 3.56, 2 Sm 3.57, 6 Y 3.61-3.65, 3 La 3.65
Y: 0.9129 0.5817 0.7457  1 Ce 3.55, 2 Sm 3.57, 6 Y 3.61-3.65, 3 La 3.64-3.65

energy relative to the elements = 3 kJ per mole of atoms
V = 33.6 A^3/atom
density of states at the Fermi level = 1.569 states/eV per atom

=====

[3]
First-principles (GGA-PBE) data for a relaxed structure of LaCeSmY, as listed in Alexandria via LeMat-Bulk.

Lattice parameters (Å, degrees): 5.7822 5.7822 5.7822 60.00 60.00 60.00
Closest atoms and distances in Å follow each position.
Fractional positions:
La: 0.0000 0.0000 0.0000  4 Ce 3.54, 4 Y 3.54
Ce: 0.2500 0.2500 0.2500  4 Sm 3.54, 4 La 3.54
Sm: 0.5000 0.5000 0.5000  4 Y 3.54, 4 Ce 3.54
Y: 0.7500 0.7500 0.7500  4 La 3.54, 4 Sm 3.54

energy relative to the elements = 19 kJ per mole of atoms
V = 34.2 A^3/atom
density of states at the Fermi level = 2.628 states/eV per atom

=====

[4]
First-principles (GGA-PBE) data for a relaxed structure of La2CeSm3Y6, as listed in Alexandria via LeMat-Bulk.

Lattice parameters (Å, degrees): 6.2792 6.2792 11.8800 95.05 95.05 120.01
Closest atoms and distances in Å follow each position.
Fractional positions:
La: 0.1665 0.8335 0.0000  6 Y 3.61, 3 La 3.62-3.63, 3 Ce 3.62-3.63
La: 0.8335 0.1665 0.0000  6 Y 3.61, 3 La 3.62-3.63, 3 Ce 3.62-3.63
Ce: 0.5000 0.5000 0.0000  6 Y 3.59-3.60, 6 La 3.62-3.63
Sm: 0.0000 0.0000 0.5000  6 Y 3.58-3.59, 6 Sm 3.62-3.63
Sm: 0.3329 0.6671 0.5000  6 Y 3.58-3.59, 6 Sm 3.62-3.63
Sm: 0.6671 0.3329 0.5000  6 Y 3.58-3.59, 6 Sm 3.62-3.63
Y: 0.0860 0.4166 0.7490  3 Sm 3.58-3.59, 1 Ce 3.59, 6 Y 3.60-3.64, 2 La 3.61
Y: 0.2528 0.2528 0.2512  3 Sm 3.58-3.59, 6 Y 3.60-3.64, 1 Ce 3.60, 2 La 3.61
Y: 0.4166 0.0860 0.7490  3 Sm 3.58-3.59, 1 Ce 3.59, 6 Y 3.60-3.64, 2 La 3.61
Y: 0.5834 0.9140 0.2510  3 Sm 3.58-3.59, 1 Ce 3.59, 6 Y 3.60-3.64, 2 La 3.61
Y: 0.7472 0.7472 0.7488  3 Sm 3.58-3.59, 6 Y 3.60-3.64, 1 Ce 3.60, 2 La 3.61
Y: 0.9140 0.5834 0.2510  3 Sm 3.58-3.59, 1 Ce 3.59, 6 Y 3.60-3.64, 2 La 3.61

energy relative to the elements = 3 kJ per mole of atoms
V = 33.3 A^3/atom
density of states at the Fermi level = 1.636 states/eV per atom

=====

[5]
First-principles (GGA-PBE) data for a relaxed structure of LaCeSmZn, as listed in Alexandria via LeMat-Bulk.

Lattice parameters (Å, degrees): 5.3685 5.3685 5.3685 60.00 60.00 60.00
Closest atoms and distances in Å follow each position.
Fractional positions:
La: 0.0000 0.0000 0.0000  4 Ce 3.29, 4 Zn 3.29
Ce: 0.7500 0.7500 0.7500  4 La 3.29, 4 Sm 3.29
Sm: 0.5000 0.5000 0.5000  4 Ce 3.29, 4 Zn 3.29
Zn: 0.2500 0.2500 0.2500  4 La 3.29, 4 Sm 3.29

energy relative to the elements = 9 kJ per mole of atoms
V = 27.4 A^3/atom
density of states at the Fermi level = 2.023 states/eV per atom

=====

[6]
First-principles (GGA-PBE) data for a relaxed structure of LaCeSmZr, as listed in Alexandria via LeMat-Bulk.

Lattice parameters (Å, degrees): 5.5402 5.5402 5.5402 60.00 60.00 60.00
Closest atoms and distances in Å follow each position.
Fractional positions:
La: 0.0000 0.0000 0.0000  4 Zr 3.39, 4 Sm 3.39
Ce: 0.5000 0.5000 0.5000  4 Zr 3.39, 4 Sm 3.39
Sm: 0.2500 0.2500 0.2500  4 Ce 3.39, 4 La 3.39
Zr: 0.7500 0.7500 0.7500  4 Ce 3.39, 4 La 3.39

energy relative to the elements = 25 kJ per mole of atoms
V = 30.1 A^3/atom
density of states at the Fermi level = 2.421 states/eV per atom

=====

[7]
First-principles (GGA-PBE) data for a relaxed structure of La3Ce2Sn3, as listed in Alexandria via LeMat-Bulk.

Lattice parameters (Å, degrees): 9.5655 9.5655 6.5854 90.00 90.00 120.00
Closest atoms and distances in Å follow each position.
Fractional positions:
La: 0.0000 0.2590 0.2500  5 Sn 3.27-3.52
La: 0.0000 0.7410 0.7500  5 Sn 3.27-3.52
La: 0.2590 0.0000 0.2500  5 Sn 3.27-3.52
La: 0.2590 0.2590 0.7500  5 Sn 3.27-3.52
La: 0.7410 0.0000 0.7500  5 Sn 3.27-3.52
La: 0.7410 0.7410 0.2500  5 Sn 3.27-3.52
Ce: 0.3333 0.6667 0.0000  2 Ce 3.29, 6 Sn 3.39
Ce: 0.3333 0.6667 0.5000  2 Ce 3.29, 6 Sn 3.39
Ce: 0.6667 0.3333 0.0000  2 Ce 3.29, 6 Sn 3.39
Ce: 0.6667 0.3333 0.5000  2 Ce 3.29, 6 Sn 3.39
Sn: 0.0000 0.3881 0.7500  5 La 3.27-3.52, 4 Ce 3.39
Sn: 0.0000 0.6119 0.2500  5 La 3.27-3.52, 4 Ce 3.39
Sn: 0.3881 0.0000 0.7500  5 La 3.27-3.52, 4 Ce 3.39
Sn: 0.3881 0.3881 0.2500  5 La 3.27-3.52, 4 Ce 3.39
Sn: 0.6119 0.0000 0.2500  5 La 3.27-3.52, 4 Ce 3.39
Sn: 0.6119 0.6119 0.7500  5 La 3.27-3.52, 4 Ce 3.39

energy relative to the elements = -62 kJ per mole of atoms
V = 32.6 A^3/atom
density of states at the Fermi level = 1.623 states/eV per atom

=====

[8]
First-principles (GGA-PBE) data for a relaxed structure of LaCe2Sn, as listed in Alexandria via LeMat-Bulk.

Lattice parameters (Å, degrees): 4.8393 4.8393 4.9495 90.00 90.00 90.00
Closest atoms and distances in Å follow each position.
Fractional positions:
La: 0.0000 0.0000 0.0000  4 Sn 3.42, 8 Ce 3.46
Ce: 0.0000 0.5000 0.5000  4 Ce 3.42, 4 La 3.46, 4 Sn 3.46
Ce: 0.5000 0.0000 0.5000  4 Ce 3.42, 4 La 3.46, 4 Sn 3.46
Sn: 0.5000 0.5000 0.0000  4 La 3.42, 8 Ce 3.46

energy relative to the elements = -38 kJ per mole of atoms
energy above the most stable polymorph in this dataset = 0.024 eV/atom
V = 29.0 A^3/atom
density of states at the Fermi level = 2.742 states/eV per atom

=====

[9]
First-principles (GGA-PBE) data for a relaxed structure of La4CeSn2, as listed in Alexandria via LeMat-Bulk.

Lattice parameters (Å, degrees): 6.9131 6.9131 5.0212 90.00 90.00 99.62
Closest atoms and distances in Å follow each position.
Fractional positions:
La: 0.0000 0.5000 0.5000  4 Sn 3.37, 2 Ce 3.46, 4 La 3.65
La: 0.2183 0.2183 0.0000  4 Sn 3.41-3.55, 2 Ce 3.55, 4 La 3.65
La: 0.5000 0.0000 0.5000  4 Sn 3.37, 2 Ce 3.46, 4 La 3.65
La: 0.7817 0.7817 0.0000  4 Sn 3.41-3.55, 2 Ce 3.55, 4 La 3.65
Ce: 0.5000 0.5000 0.5000  4 Sn 3.41, 8 La 3.46-3.55
Sn: 0.2812 0.7188 0.0000  8 La 3.37-3.55, 2 Ce 3.41
Sn: 0.7188 0.2812 0.0000  8 La 3.37-3.55, 2 Ce 3.41

energy relative to the elements = -42 kJ per mole of atoms
energy above the most stable polymorph in this dataset = 0.000 eV/atom
V = 33.8 A^3/atom
density of states at the Fermi level = 1.729 states/eV per atom

=====

[10]
First-principles (GGA-PBE) data for a relaxed structure of La5Ce2Sn4, as listed in Alexandria via LeMat-Bulk.

Lattice parameters (Å, degrees): 10.9970 10.9970 10.9970 156.06 127.24 58.72
Closest atoms and distances in Å follow each position.
Fractional positions:
La: 0.0000 0.0000 0.0000  4 Ce 3.03, 4 Sn 3.39
La: 0.1356 0.3333 0.8023  1 Ce 3.19, 4 Sn 3.23-3.53
La: 0.4691 0.6667 0.8023  1 Ce 3.19, 4 Sn 3.23-3.53
La: 0.5309 0.3333 0.1977  1 Ce 3.19, 4 Sn 3.23-3.53
La: 0.8644 0.6667 0.1977  1 Ce 3.19, 4 Sn 3.23-3.53
Ce: 0.1042 0.6042 0.5000  4 La 3.03-3.19, 3 Sn 3.14-3.21
Ce: 0.8958 0.3958 0.5000  4 La 3.03-3.19, 3 Sn 3.14-3.21
Sn: 0.2567 0.5000 0.7567  2 Ce 3.21, 4 La 3.23-3.39
Sn: 0.2679 0.7679 0.5000  1 Ce 3.14, 4 La 3.24
Sn: 0.7321 0.2321 0.5000  1 Ce 3.14, 4 La 3.24
Sn: 0.7433 0.5000 0.2433  2 Ce 3.21, 4 La 3.23-3.39

energy relative to the elements = -8 kJ per mole of atoms
V = 38.8 A^3/atom
density of states at the Fermi level = 1.609 states/eV per atom

=====

[11]
First-principles (GGA-PBE) data for a relaxed structure of LaCe3Sn2, as listed in Alexandria via LeMat-Bulk.

Lattice parameters (Å, degrees): 9.6290 9.6290 8.2000 113.19 113.19 29.48
Closest atoms and distances in Å follow each position.
Fractional positions:
La: 0.1146 0.1146 0.1824  7 Sn 3.41-3.68, 1 Ce 3.79
La: 0.8854 0.8854 0.8176  7 Sn 3.41-3.68, 1 Ce 3.79
Ce: 0.0682 0.0682 0.6579  3 Ce 2.79-2.91
Ce: 0.2971 0.2971 0.0870  3 Ce 2.74-3.01
Ce: 0.3794 0.3794 0.4508  3 Ce 2.74-2.91
Ce: 0.6206 0.6206 0.5492  3 Ce 2.74-2.91
Ce: 0.7029 0.7029 0.9130  3 Ce 2.74-3.01
Ce: 0.9318 0.9318 0.3421  3 Ce 2.79-2.91
Sn: 0.2466 0.2466 0.6594  7 Ce 3.24-3.53, 2 La 3.41, 2 Sn 3.62
Sn: 0.4781 0.4781 0.1565  1 Sn 2.99, 4 Ce 3.18-3.23
Sn: 0.5219 0.5219 0.8435  1 Sn 2.99, 4 Ce 3.18-3.23
Sn: 0.7534 0.7534 0.3406  7 Ce 3.24-3.53, 2 La 3.41, 2 Sn 3.62

energy relative to the elements = -44 kJ per mole of atoms
V = 28.5 A^3/atom
density of states at the Fermi level = 1.942 states/eV per atom

=====

Q: Which formula does entry 10 have?
A: La5Ce2Sn4